No. 1
The following is a SCAN calculation of a crystal of NaNdSiO4 relaxed with PBEsol, from the Alexandria database.

Cell lengths 20.797, 9.284, 5.498 Å; angles 90.00, 90.00, 90.00 degrees
Space group Pna2_1 (No. 33)
Inequivalent atoms, fractional coordinates:
Na (0.055, 0.068, 0.000) x4
Na (0.110, 0.573, 0.451) x4
Na (0.222, 0.425, 0.939) x4
Nd (0.000, 0.304, 0.495) x4
Nd (0.167, 0.196, 0.427) x4
Nd (0.167, 0.801, 0.946) x4
Si (0.077, 0.414, 0.950) x4
Si (0.091, 0.914, 0.484) x4
Si (0.243, 0.083, 0.950) x4
O (0.000, 0.442, 0.881) x4
O (0.057, 0.073, 0.494) x4
O (0.068, 0.811, 0.709) x4
O (0.076, 0.836, 0.224) x4
O (0.084, 0.308, 0.185) x4
O (0.107, 0.342, 0.702) x4
O (0.109, 0.572, 0.006) x4
O (0.167, 0.060, 0.022) x4
O (0.168, 0.941, 0.528) x4
O (0.226, 0.424, 0.387) x4
O (0.226, 0.646, 0.704) x4
O (0.246, 0.696, 0.225) x4

## Properties
Fermi-level density of states: 0.00 states/eV/cell
formation energy without anion corrections: -3.1869 eV per atom

No. 2
The following is a SCAN calculation of a crystal of Ca2AgPt2 relaxed with PBEsol, from the Alexandria database.

Cell lengths 7.167, 7.167, 4.066 Å; angles 90.00, 90.00, 90.00 degrees
Space group P4/mbm (No. 127)
Inequivalent atoms, fractional coordinates:
Ca (0.172, 0.328, 0.000) x4
Ag (0.000, 0.000, 0.500) x2
Pt (0.131, 0.631, 0.500) x4

## Properties
Fermi-level density of states: 4.88 states/eV/cell
energy of formation from the pure elements: -0.756 eV/atom

No. 3
The following is a SCAN calculation of a crystal of Tb2CuGe2O8 relaxed with PBEsol, from the Alexandria database.

Cell lengths 9.480, 14.978, 5.081 Å; angles 90.00, 121.72, 90.00 degrees
Space group Cm (No. 8)
Inequivalent atoms, fractional coordinates:
Tb (0.000, 0.119, 0.000) x4
Tb (0.499, 0.120, 0.508) x4
Cu (0.295, 0.207, 0.814) x4
Ge (0.242, 0.289, 0.267) x4
Ge (0.254, 0.500, 0.216) x2
Ge (0.257, 0.000, 0.801) x2
O (0.058, 0.265, 0.260) x4
O (0.082, 0.000, 0.840) x2
O (0.083, 0.500, 0.834) x2
O (0.246, 0.171, 0.110) x4
O (0.252, 0.331, 0.945) x4
O (0.254, 0.407, 0.439) x4
O (0.262, 0.094, 0.593) x4
O (0.418, 0.258, 0.637) x4
O (0.425, 0.000, 0.192) x2
O (0.429, 0.500, 0.181) x2

## Properties
Fermi-level density of states: 0.00 states/eV/cell
formation energy without anion corrections: -2.5400 eV per atom

No. 4
The following is a SCAN calculation of a crystal of LiY2Pb2 relaxed with PBEsol, from the Alexandria database.

Cell lengths 7.585, 7.585, 4.568 Å; angles 90.00, 90.00, 90.00 degrees
Space group P4/mbm (No. 127)
Inequivalent atoms, fractional coordinates:
Li (0.000, 0.000, 0.000) x2
Y (0.170, 0.330, 0.500) x4
Pb (0.140, 0.640, 0.000) x4

## Properties
Fermi-level density of states: 5.86 states/eV/cell
energy of formation from the pure elements: -0.688 eV/atom

No. 5
The following is a SCAN calculation of a crystal of BaBe2Re relaxed with PBEsol, from the Alexandria database.

Cell lengths 2.925, 2.925, 7.722 Å; angles 90.00, 90.00, 90.00 degrees
Space group P4mm (No. 99)
Inequivalent atoms, fractional coordinates:
Ba (0.000, 0.000, 0.000) x1
Be (0.000, 0.000, 0.468) x1
Be (0.500, 0.500, 0.339) x1
Re (0.500, 0.500, 0.644) x1

## Properties
Fermi-level density of states: 2.99 states/eV/cell
energy of formation from the pure elements: 0.833 eV/atom

No. 6
The following is a SCAN calculation of a crystal of CsMn3I relaxed with PBEsol, from the Alexandria database.

Cell lengths 6.067, 6.067, 6.067 Å; angles 90.00, 90.00, 90.00 degrees
Space group Pm-3m (No. 221)
Inequivalent atoms, fractional coordinates:
Cs (0.000, 0.000, 0.000) x1
Mn (0.000, 0.000, 0.500) x3
I (0.500, 0.500, 0.500) x1

## Properties
Fermi-level density of states: 6.06 states/eV/cell
formation energy without anion corrections: 1.6325 eV per atom

No. 7
The following is a SCAN calculation of a crystal of MgFeTc2 relaxed with PBEsol, from the Alexandria database.

Cell lengths 2.712, 3.836, 5.440 Å; angles 90.00, 90.00, 90.00 degrees
Space group Pmm2 (No. 25)
Inequivalent atoms, fractional coordinates:
Mg (0.000, 0.000, 0.000) x1
Fe (0.500, 0.500, 0.753) x1
Tc (0.000, 0.000, 0.505) x1
Tc (0.500, 0.500, 0.290) x1

## Properties
Fermi-level density of states: 3.38 states/eV/cell
energy of formation from the pure elements: 0.208 eV/atom

No. 8
The following is a SCAN calculation of a crystal of ZnP4O11 relaxed with PBEsol, from the Alexandria database.

Cell lengths 5.354, 22.417, 7.457 Å; angles 90.00, 110.40, 90.00 degrees
Space group P2_1/c (No. 14)
Inequivalent atoms, fractional coordinates:
Zn (0.008, 0.115, 0.368) x4
P (0.309, 0.072, 0.810) x4
P (0.315, 0.678, 0.555) x4
P (0.390, 0.696, 0.970) x4
P (0.405, 0.037, 0.206) x4
O (0.073, 0.076, 0.635) x4
O (0.077, 0.655, 0.403) x4
O (0.183, 0.683, 0.054) x4
O (0.223, 0.047, 0.313) x4
O (0.230, 0.047, 0.979) x4
O (0.246, 0.694, 0.737) x4
O (0.333, 0.566, 0.254) x4
O (0.355, 0.163, 0.480) x4
O (0.434, 0.136, 0.880) x4
O (0.444, 0.536, 0.702) x4
O (0.459, 0.733, 0.502) x4

## Properties
energy above the most stable polymorph in this dataset: 0 meV per atom
Fermi-level density of states: 0.00 states/eV/cell
formation energy without anion corrections: -2.2422 eV per atom